Arrangement one

PuTlSn: relaxed, PBE.

Structure (POSCAR):
```
PuTlSn
1.0
0.000 3.616 3.616
3.616 0.000 3.616
3.616 3.616 0.000
Pu Tl Sn
1 1 1
Cartesian
0.000 0.000 0.000
1.808 1.808 1.808
3.616 3.616 3.616
```

- volume (Å³ per atom) = 31.5



Arrangement two

PuTlSn: relaxed, PBE.

Structure (POSCAR):
```
PuTlSn
1.0
0.000 3.608 3.608
3.608 0.000 3.608
3.608 3.608 0.000
Pu Tl Sn
1 1 1
Cartesian
0.000 0.000 0.000
1.804 1.804 1.804
5.413 5.413 5.413
```

- volume (Å³ per atom) = 31.3



Best to worst by energy: arrangement one, arrangement two.



Arrangement one

PuSnW: relaxed, PBE.

Structure (POSCAR):
```
PuSnW
1.0
0.000 3.385 3.385
3.385 0.000 3.385
3.385 3.385 0.000
Pu Sn W
1 1 1
Cartesian
0.000 0.000 0.000
5.078 5.078 5.078
1.693 1.693 1.693
```

- volume (Å³ per atom) = 25.9



Arrangement two

PuSnW: relaxed, PBE.

Structure (POSCAR):
```
PuSnW
1.0
0.000 3.305 3.305
3.305 0.000 3.305
3.305 3.305 0.000
Pu Sn W
1 1 1
Cartesian
0.000 0.000 0.000
3.305 3.305 3.305
1.653 1.653 1.653
```

- volume (Å³ per atom) = 24.1



Best to worst by energy: arrangement two, arrangement one.



Arrangement one

PuTlTe: relaxed, PBE.

Structure (POSCAR):
```
PuTlTe
1.0
0.000 3.649 3.649
3.649 0.000 3.649
3.649 3.649 0.000
Pu Tl Te
1 1 1
Cartesian
0.000 0.000 0.000
1.825 1.825 1.825
5.474 5.474 5.474
```

- volume (Å³ per atom) = 32.4



Arrangement two

PuTlTe: relaxed, PBE.

Structure (POSCAR):
```
PuTlTe
1.0
0.000 3.756 3.756
3.756 0.000 3.756
3.756 3.756 0.000
Pu Tl Te
1 1 1
Cartesian
0.000 0.000 0.000
3.756 3.756 3.756
1.878 1.878 1.878
```

- volume (Å³ per atom) = 35.3



Best to worst by energy: arrangement one, arrangement two.



Arrangement one

PuTeW: relaxed, PBE.

Structure (POSCAR):
```
PuTeW
1.0
0.000 3.305 3.305
3.305 0.000 3.305
3.305 3.305 0.000
Pu Te W
1 1 1
Cartesian
0.000 0.000 0.000
3.305 3.305 3.305
1.652 1.652 1.652
```

- volume (Å³ per atom) = 24.1



Arrangement two

PuTeW: relaxed, PBE.

Structure (POSCAR):
```
PuTeW
1.0
0.000 3.397 3.397
3.397 0.000 3.397
3.397 3.397 0.000
Pu Te W
1 1 1
Cartesian
0.000 0.000 0.000
5.095 5.095 5.095
1.698 1.698 1.698
```

- volume (Å³ per atom) = 26.1



Best to worst by energy: arrangement one, arrangement two.



Arrangement one

PuTlW: relaxed, PBE.

Structure (POSCAR):
```
PuTlW
1.0
0.000 3.336 3.336
3.336 0.000 3.336
3.336 3.336 0.000
Pu Tl W
1 1 1
Cartesian
0.000 0.000 0.000
5.003 5.003 5.003
1.668 1.668 1.668
```

- volume (Å³ per atom) = 24.7



Arrangement two

PuTlW: relaxed, PBE.

Structure (POSCAR):
```
PuTlW
1.0
0.000 3.339 3.339
3.339 0.000 3.339
3.339 3.339 0.000
Pu Tl W
1 1 1
Cartesian
0.000 0.000 0.000
3.339 3.339 3.339
5.009 5.009 5.009
```

- volume (Å³ per atom) = 24.8



Best to worst by energy: arrangement two, arrangement one.



Arrangement one

PuU: relaxed, PBE.

Structure (POSCAR):
```
PuU
1.0
0.000 2.610 2.610
2.610 0.000 2.610
2.610 2.610 0.000
Pu U
1 1
Cartesian
0.000 0.000 0.000
2.610 2.610 2.610
```

- volume (Å³ per atom) = 17.8



Arrangement two

PuU: relaxed, PBE.

Structure (POSCAR):
```
PuU
1.0
0.000 2.799 2.799
2.799 0.000 2.799
2.799 2.799 0.000
Pu U
1 1
Cartesian
0.000 0.000 0.000
4.198 4.198 4.198
```

- volume (Å³ per atom) = 21.9



Best to worst by energy: arrangement one, arrangement two.



Arrangement one

PuW: relaxed, PBE.

Structure (POSCAR):
```
PuW
1.0
0.000 2.768 2.768
2.768 0.000 2.768
2.768 2.768 0.000
Pu W
1 1
Cartesian
0.000 0.000 0.000
2.768 2.768 2.768
```

- volume (Å³ per atom) = 21.2



Arrangement two

PuW: relaxed, PBE.

Structure (POSCAR):
```
PuW
1.0
0.000 2.917 2.917
2.917 0.000 2.917
2.917 2.917 0.000
Pu W
1 1
Cartesian
0.000 0.000 0.000
4.375 4.375 4.375
```

- volume (Å³ per atom) = 24.8



Arrangement three

PuW: relaxed, PBE.

Structure (POSCAR):
```
PuW
1.0
2.698 0.000 0.000
-1.349 2.336 0.000
0.000 0.000 5.537
Pu W
1 1
Cartesian
0.000 0.000 0.000
1.349 0.779 2.769
```

- volume (Å³ per atom) = 17.4



Best to worst by energy: arrangement three, arrangement one, arrangement two.



Arrangement one

Pu2Zn17: relaxed, PBE.

Structure (POSCAR):
```
Pu2Zn17
1.0
8.961 0.000 0.000
-4.480 7.760 0.000
0.000 0.000 8.796
Pu Zn
4 34
Cartesian
0.000 0.000 2.199
0.000 0.000 6.597
0.000 5.173 2.199
4.480 2.587 6.597
-2.240 3.880 0.000
-2.240 3.880 4.398
-1.308 2.849 6.597
-2.667 5.203 6.597
0.000 2.517 0.193
0.000 2.517 4.205
-2.301 6.502 0.193
-2.301 6.502 4.205
2.180 1.258 4.591
2.180 1.258 8.603
1.308 2.849 6.597
-1.359 7.468 6.597
0.000 5.173 5.283
0.000 5.173 7.911
3.121 0.292 2.199
1.814 2.557 2.199
4.480 0.000 0.000
4.480 0.000 4.398
2.240 3.880 0.000
2.240 3.880 4.398
2.667 5.203 6.597
1.359 7.468 6.597
4.480 2.587 0.885
4.480 2.587 3.513
5.839 0.292 2.199
3.173 4.911 2.199
2.301 6.502 0.193
2.301 6.502 4.205
6.781 1.258 4.591
6.781 1.258 8.603
4.480 5.243 4.591
4.480 5.243 8.603
7.147 2.557 2.199
5.788 4.911 2.199
```

- volume (Å³ per atom) = 16.1



Arrangement two

Pu2Zn17: relaxed, PBE.

Structure (POSCAR):
```
Pu2Zn17
1.0
4.484 2.589 4.393
-4.484 2.589 4.393
0.000 -5.177 4.393
Pu Zn
2 17
Cartesian
0.000 0.000 2.155
0.000 0.000 11.025
-2.242 -1.294 4.393
0.000 -2.655 4.193
-2.299 1.327 4.193
-1.330 -2.303 6.590
-2.660 0.000 6.590
-2.299 -1.327 8.988
0.000 0.000 5.268
-2.242 1.294 8.787
1.330 -2.303 6.590
0.000 2.589 4.393
-1.330 2.303 6.590
0.000 0.000 7.913
2.299 1.327 4.193
2.660 0.000 6.590
1.330 2.303 6.590
2.299 -1.327 8.988
0.000 2.655 8.988
```

- volume (Å³ per atom) = 16.1



Best to worst by energy: arrangement one, arrangement two.



Arrangement one

PuZr3: relaxed, PBE.

Structure (POSCAR):
```
PuZr3
1.0
6.441 0.000 0.000
-3.221 5.578 0.000
0.000 0.000 5.283
Pu Zr
2 6
Cartesian
0.000 3.719 1.321
3.221 1.859 3.962
0.000 1.836 3.962
-1.630 4.660 3.962
1.590 0.918 1.321
1.630 4.660 3.962
4.851 0.918 1.321
3.221 3.742 1.321
```

- volume (Å³ per atom) = 23.7



Arrangement two

PuZr3: relaxed, PBE.

Structure (POSCAR):
```
PuZr3
1.0
3.065 -6.017 0.000
3.065 6.017 0.000
0.000 0.000 4.723
Pu Zr
2 6
Cartesian
3.065 5.659 3.542
3.065 -5.659 1.181
1.505 2.209 3.542
3.065 0.901 1.181
1.505 -2.209 1.181
4.626 2.209 3.542
3.065 -0.901 3.542
4.626 -2.209 1.181
```

- volume (Å³ per atom) = 21.8



Best to worst by energy: arrangement two, arrangement one.



Arrangement one

RbReSb: relaxed, PBE.

Structure (POSCAR):
```
RbReSb
1.0
0.000 3.788 3.788
3.788 0.000 3.788
3.788 3.788 0.000
Rb Re Sb
1 1 1
Cartesian
0.000 0.000 0.000
5.682 5.682 5.682
1.894 1.894 1.894
```

- volume (Å³ per atom) = 36.2



Arrangement two

RbReSb: relaxed, PBE.

Structure (POSCAR):
```
RbReSb
1.0
0.000 3.397 3.397
3.397 0.000 3.397
3.397 3.397 0.000
Rb Re Sb
1 1 1
Cartesian
0.000 0.000 0.000
1.698 1.698 1.698
3.397 3.397 3.397
```

- volume (Å³ per atom) = 26.1



Best to worst by energy: arrangement two, arrangement one.



Arrangement one

RbSrRe: relaxed, PBE.

Structure (POSCAR):
```
RbSrRe
1.0
0.000 3.769 3.769
3.769 0.000 3.769
3.769 3.769 0.000
Rb Sr Re
1 1 1
Cartesian
0.000 0.000 0.000
1.884 1.884 1.884
5.653 5.653 5.653
```

- volume (Å³ per atom) = 35.7



Arrangement two

RbSrRe: relaxed, PBE.

Structure (POSCAR):
```
RbSrRe
1.0
0.000 3.907 3.907
3.907 0.000 3.907
3.907 3.907 0.000
Rb Sr Re
1 1 1
Cartesian
0.000 0.000 0.000
3.907 3.907 3.907
1.953 1.953 1.953
```

- volume (Å³ per atom) = 39.8



Best to worst by energy: arrangement two, arrangement one.



Arrangement one

RbTaRe: relaxed, PBE.

Structure (POSCAR):
```
RbTaRe
1.0
0.000 3.291 3.291
3.291 0.000 3.291
3.291 3.291 0.000
Rb Ta Re
1 1 1
Cartesian
0.000 0.000 0.000
3.291 3.291 3.291
1.645 1.645 1.645
```

- volume (Å³ per atom) = 23.8



Arrangement two

RbTaRe: relaxed, PBE.

Structure (POSCAR):
```
RbTaRe
1.0
0.000 3.256 3.256
3.256 0.000 3.256
3.256 3.256 0.000
Rb Ta Re
1 1 1
Cartesian
0.000 0.000 0.000
1.628 1.628 1.628
4.883 4.883 4.883
```

- volume (Å³ per atom) = 23.0



Best to worst by energy: arrangement one, arrangement two.